(1)
Material: DyAuSO
Method: DFT, PBE
State: relaxed

```
DyAuSO
1.0
9.284 0.000 0.000
0.000 5.404 0.000
0.000 0.000 5.563
Au Dy O S
4 4 4 4
Direct
0.444 0.250 0.000
0.556 0.750 0.000
0.444 0.250 0.500
0.556 0.750 0.500
0.121 0.493 0.250
0.879 0.993 0.250
0.121 0.007 0.750
0.879 0.507 0.750
0.996 0.250 0.000
0.004 0.750 0.000
0.996 0.250 0.500
0.004 0.750 0.500
0.718 0.480 0.250
0.282 0.980 0.250
0.718 0.020 0.750
0.282 0.520 0.750
```

Output
- crystal system = orthorhombic
- energy above the lowest structure with this stoichiometry (eV/atom) = 0.146
- E (eV per atom) = -6.063

***

(2)
Material: Tb2Pr2O5
Method: DFT, PBE
State: relaxed

```
Tb2Pr2O5
1.0
7.672 0.000 0.000
0.000 4.370 0.000
0.000 0.000 4.370
O Pr Tb
5 2 2
Direct
0.240 0.500 0.000
0.760 0.500 0.000
0.240 0.000 0.500
0.760 0.000 0.500
0.500 0.500 0.500
0.000 0.000 0.000
0.500 0.000 0.000
0.226 0.500 0.500
0.774 0.500 0.500
```

Output
- crystal system = tetragonal
- energy above the lowest structure with this stoichiometry (eV/atom) = 0.000
- E (eV per atom) = -7.532

***

(3)
Material: Pr2Dy2BCl5
Method: DFT, PBE
State: relaxed

```
Pr2Dy2BCl5
1.0
8.744 -1.956 0.000
8.744 1.956 0.000
-1.898 0.000 8.129
B Cl Dy Pr
1 5 2 2
Direct
0.500 0.500 0.000
0.824 0.824 0.137
0.170 0.170 0.312
0.500 0.500 0.500
0.830 0.830 0.688
0.176 0.176 0.863
0.646 0.646 0.079
0.354 0.354 0.921
0.998 0.998 0.221
0.002 0.002 0.779
```

Output
- crystal system = monoclinic
- E (eV per atom) = -5.121

***

(4)
Material: ErPPbO
Method: DFT, PBE
State: relaxed

```
ErPPbO
1.0
-0.817 -4.419 1.080
4.545 -0.743 0.397
-0.373 2.054 8.125
Er O P Pb
2 2 2 2
Direct
0.000 0.000 0.500
0.500 0.500 0.500
0.000 0.000 0.000
0.500 0.500 0.000
0.500 0.000 0.337
0.000 0.500 0.663
0.000 0.500 0.104
0.500 0.000 0.896
```

Output
- crystal system = tetragonal
- energy above the lowest structure with this stoichiometry (eV/atom) = 0.615
- E (eV per atom) = -5.473

***

(5)
Material: ZnMo
Method: DFT, PBE
State: relaxed

```
ZnMo
1.0
4.812 -2.778 0.000
0.000 5.556 0.000
0.000 0.000 4.534
Mo Zn
4 4
Direct
0.000 0.000 0.000
0.345 0.172 0.500
0.828 0.172 0.500
0.828 0.655 0.500
0.504 0.008 0.000
0.992 0.496 0.000
0.504 0.496 0.000
0.333 0.667 0.500
```

Output
- crystal system = hexagonal
- energy above the lowest structure with this stoichiometry (eV/atom) = 0.122
- E (eV per atom) = -5.874
- calculated formation energy (eV per formula unit) = 0.4

***

(6)
Material: PmSmIr
Method: DFT, PBE
State: relaxed

```
PmSmIr
1.0
2.165 -4.184 0.809
-1.619 -2.905 3.434
-2.188 -4.088 -1.163
Ir Pm Sm
1 1 1
Direct
0.250 0.250 0.250
0.750 0.750 0.750
0.000 0.000 0.000
```

Output
- crystal system = cubic
- energy above the lowest structure with this stoichiometry (eV/atom) = 0.000
- E (eV per atom) = -5.930
- calculated formation energy (eV per formula unit) = 0.5

***

(7)
Material: Li2YScIn2Cu2
Method: DFT, PBE
State: relaxed

```
Li2YScIn2Cu2
1.0
-2.387 -0.950 3.847
-2.759 -2.825 -2.410
4.026 -5.008 1.261
Cu In Li Sc Y
2 2 2 1 1
Direct
0.000 0.500 0.237
0.500 0.000 0.763
0.500 0.500 0.000
0.000 0.000 0.500
0.500 0.000 0.238
0.000 0.500 0.762
0.000 0.000 0.000
0.500 0.500 0.500
```

Output
- crystal system = tetragonal
- E (eV per atom) = -4.044

***

(8)
Material: TaNb2Al
Method: DFT, PBE
State: relaxed

```
TaNb2Al
1.0
0.000 3.279 3.279
3.279 0.000 3.279
3.279 3.279 0.000
Al Nb Ta
1 2 1
Direct
0.750 0.750 0.750
0.000 0.000 0.000
0.250 0.250 0.250
0.500 0.500 0.500
```

Output
- crystal system = cubic
- E (eV per atom) = -9.015

***

(9)
Material: TbI3
Method: DFT, PBE
State: relaxed

```
TbI3
1.0
7.307 0.000 0.000
0.000 7.307 0.000
0.000 0.000 13.198
I Tb
12 4
Direct
0.201 0.201 0.000
0.799 0.799 0.000
0.704 0.296 0.164
0.296 0.704 0.164
0.204 0.204 0.336
0.796 0.796 0.336
0.701 0.299 0.500
0.299 0.701 0.500
0.204 0.204 0.664
0.796 0.796 0.664
0.704 0.296 0.836
0.296 0.704 0.836
0.000 0.000 0.169
0.500 0.500 0.331
0.500 0.500 0.669
0.000 0.000 0.831
```

Output
- crystal system = tetragonal
- E (eV per atom) = -3.673

***

(10)
Material: LuH
Method: DFT, PBE
State: relaxed

```
LuH
1.0
-3.036 -1.799 0.220
-1.885 0.073 2.990
-3.079 1.734 0.106
H Lu
1 1
Direct
0.000 0.000 0.000
0.250 0.250 0.250
```

Output
- crystal system = cubic
- E (eV per atom) = -4.362

***

(11)
Material: TaGaCuOs
Method: DFT, PBE
State: relaxed

```
TaGaCuOs
1.0
0.000 3.099 3.099
3.099 0.000 3.099
3.099 3.099 0.000
Cu Ga Os Ta
1 1 1 1
Direct
0.750 0.750 0.750
0.000 0.000 0.000
0.250 0.250 0.250
0.500 0.500 0.500
```

Output
- crystal system = cubic
- energy above the lowest structure with this stoichiometry (eV/atom) = 0.000
- E (eV per atom) = -7.555

***

(12)
Material: TbReGe
Method: DFT, PBE
State: relaxed

```
TbReGe
1.0
0.000 3.154 3.154
3.154 0.000 3.154
3.154 3.154 0.000
Ge Re Tb
1 1 1
Direct
0.000 0.000 0.000
0.250 0.250 0.250
0.750 0.750 0.750
```

Output
- crystal system = cubic
- E (eV per atom) = -7.008

***

(13)
Material: DyY2Sb3
Method: DFT, PBE
State: relaxed

```
DyY2Sb3
1.0
4.385 0.000 0.000
-2.192 3.797 0.000
0.000 0.000 10.750
Dy Sb Y
1 3 2
Direct
0.000 0.000 0.000
0.333 0.667 0.166
0.000 0.000 0.500
0.667 0.333 0.834
0.667 0.333 0.333
0.333 0.667 0.667
```

Output
- crystal system = trigonal
- E (eV per atom) = -6.138

***

(14)
Material: Sm3Mg3Hg2Pd
Method: DFT, PBE
State: relaxed

```
Sm3Mg3Hg2Pd
1.0
-1.060 -1.976 -7.496
-5.579 -1.516 5.272
-1.738 3.784 -0.752
Hg Mg Pd Sm
2 3 1 3
Direct
0.667 0.333 0.500
0.333 0.667 0.500
0.234 0.000 0.500
0.000 0.234 0.500
0.766 0.766 0.500
0.000 0.000 0.000
0.598 0.000 0.000
0.402 0.402 0.000
0.000 0.598 0.000
```

Output
- crystal system = hexagonal
- E (eV per atom) = -3.204

***

(15)
Material: PrC
Method: DFT, PBE
State: relaxed

```
PrC
1.0
-0.947 -2.902 -1.978
2.344 -0.365 2.757
-2.517 -0.584 2.062
C Pr
1 1
Direct
0.667 0.333 0.750
0.333 0.667 0.250
```

Output
- crystal system = hexagonal
- energy above the lowest structure with this stoichiometry (eV/atom) = 0.312
- E (eV per atom) = -6.321

***

(16)
Material: Sc9Ni5Ge8
Method: DFT, PBE
State: relaxed

```
Sc9Ni5Ge8
1.0
-3.509 -1.292 -1.246
4.086 -4.824 -6.502
0.415 -5.148 10.404
Ge Ni Sc
8 5 9
Direct
0.500 0.319 0.000
0.500 0.681 0.000
0.633 0.133 0.265
0.193 0.553 0.386
0.193 0.832 0.386
0.807 0.168 0.614
0.807 0.447 0.614
0.367 0.867 0.735
0.000 0.500 0.000
0.697 0.421 0.393
0.697 0.972 0.393
0.303 0.028 0.607
0.303 0.579 0.607
0.500 0.000 0.000
0.085 0.282 0.170
0.085 0.888 0.170
0.611 0.611 0.221
0.226 0.226 0.452
0.774 0.774 0.548
0.389 0.389 0.779
0.915 0.112 0.830
0.915 0.718 0.830
```

Output
- crystal system = orthorhombic
- E (eV per atom) = -6.311

***

(17)
Material: PrMg2Si2
Method: DFT, PBE
State: relaxed

```
PrMg2Si2
1.0
7.568 0.000 0.000
0.000 7.568 0.000
0.000 0.000 3.934
Mg Pr Si
4 2 4
Direct
0.666 0.166 0.500
0.166 0.334 0.500
0.834 0.666 0.500
0.334 0.834 0.500
0.000 0.000 0.000
0.500 0.500 0.000
0.387 0.113 0.000
0.887 0.387 0.000
0.113 0.613 0.000
0.613 0.887 0.000
```

Output
- crystal system = tetragonal
- energy above the lowest structure with this stoichiometry (eV/atom) = 0.340
- E (eV per atom) = -3.852

***

(18)
Material: PmErCd
Method: DFT, PBE
State: relaxed

```
PmErCd
1.0
0.000 3.634 3.634
3.634 0.000 3.634
3.634 3.634 0.000
Cd Er Pm
1 1 1
Direct
0.000 0.000 0.000
0.500 0.500 0.500
0.750 0.750 0.750
```

Output
- crystal system = cubic
- E (eV per atom) = -2.906
- calculated formation energy (eV per formula unit) = 1.5

***

(19)
Material: Fe2GeIr
Method: DFT, PBE
State: relaxed

```
Fe2GeIr
1.0
-3.565 -2.109 0.674
-1.148 -0.983 3.915
-3.277 1.931 1.773
Fe Ge Ir
2 1 1
Direct
0.250 0.250 0.250
0.500 0.500 0.500
0.000 0.000 0.000
0.750 0.750 0.750
```

Output
- crystal system = cubic
- E (eV per atom) = -7.656

***

(20)
Material: RbAgSn2
Method: DFT, PBE
State: relaxed

```
RbAgSn2
1.0
2.285 -6.994 0.000
2.285 6.994 0.000
0.000 0.000 8.050
Ag Rb Sn
2 2 4
Direct
0.227 0.773 0.250
0.773 0.227 0.750
0.955 0.045 0.250
0.045 0.955 0.750
0.668 0.332 0.058
0.668 0.332 0.442
0.332 0.668 0.558
0.332 0.668 0.942
```

Output
- crystal system = orthorhombic
- E (eV per atom) = -3.115

***

(21)
Material: ZrAlNO
Method: DFT, PBE
State: relaxed

```
ZrAlNO
1.0
4.733 0.000 0.000
0.000 5.660 0.000
0.000 0.000 7.287
Al N O Zr
4 4 4 4
Direct
0.993 0.091 0.100
0.493 0.409 0.100
0.993 0.591 0.900
0.493 0.909 0.900
0.597 0.092 0.102
0.097 0.408 0.102
0.597 0.592 0.898
0.097 0.908 0.898
0.563 0.578 0.309
0.063 0.922 0.309
0.563 0.078 0.691
0.063 0.422 0.691
0.050 0.545 0.384
0.550 0.955 0.384
0.050 0.045 0.616
0.550 0.455 0.616
```

Output
- crystal system = orthorhombic
- energy above the lowest structure with this stoichiometry (eV/atom) = 0.043
- E (eV per atom) = -8.128

***

(22)
Material: YScMo2C3
Method: DFT, PBE
State: relaxed

```
YScMo2C3
1.0
-1.873 -2.345 5.033
0.793 -4.111 4.101
3.294 4.345 1.190
C Mo Sc Y
3 2 1 1
Direct
0.275 0.275 0.254
0.734 0.734 0.757
0.996 0.996 0.985
0.852 0.852 0.133
0.147 0.147 0.866
0.381 0.381 0.686
0.614 0.614 0.320
```

Output
- crystal system = monoclinic
- E (eV per atom) = -9.211

***

(23)
Material: ScTcPO
Method: DFT, PBE
State: relaxed

```
ScTcPO
1.0
-1.110 -3.238 3.573
4.560 -1.897 -0.302
1.447 2.976 3.147
O P Sc Tc
2 2 2 2
Direct
0.000 0.000 0.000
0.500 0.500 0.000
0.500 0.000 0.498
0.000 0.500 0.502
0.000 0.000 0.500
0.500 0.500 0.500
0.000 0.500 0.000
0.500 0.000 0.000
```

Output
- crystal system = tetragonal
- energy above the lowest structure with this stoichiometry (eV/atom) = 0.955
- E (eV per atom) = -7.554

***

(24)
Material: Lu4Zr2Cu3N3
Method: DFT, PBE
State: relaxed

```
Lu4Zr2Cu3N3
1.0
5.092 -2.840 0.000
5.092 2.840 0.000
-3.383 0.000 13.833
Cu Lu N Zr
6 8 6 4
Direct
0.272 0.389 0.250
0.138 0.862 0.250
0.611 0.728 0.250
0.389 0.272 0.750
0.862 0.138 0.750
0.728 0.611 0.750
0.197 0.035 0.095
0.861 0.701 0.096
0.299 0.139 0.404
0.965 0.803 0.405
0.035 0.197 0.595
0.701 0.861 0.596
0.139 0.299 0.904
0.803 0.965 0.905
0.500 0.000 0.000
0.825 0.339 0.001
0.661 0.175 0.499
0.000 0.500 0.500
0.339 0.825 0.501
0.175 0.661 0.999
0.527 0.371 0.094
0.629 0.473 0.406
0.371 0.527 0.594
0.473 0.629 0.906
```

Output
- crystal system = monoclinic
- E (eV per atom) = -6.746